Material: TaHg2Rh
Method: DFT, PBE
State: optimized geometry

The structure in POSCAR format:
```
TaHg2Rh
1.0
0.000 3.321 3.321
3.321 0.000 3.321
3.321 3.321 0.000
Hg Rh Ta
2 1 1
direct
0.000 0.000 0.000
0.750 0.750 0.750
0.500 0.500 0.500
0.250 0.250 0.250
```

The value obtained for the mass density is 15.5 g/cm3. The energy above the most stable polymorph in this dataset comes out at 301 meV/atom. As for the space group: F-43m, No. 216. The magnetic moment is 0.000 μB/atom. The formation energy comes out at 1.23 eV per formula unit. The value obtained for the total energy is -4.6438 eV per atom.